1.
The following is a PBE calculation of a relaxed structure of NaNpBi2O8, from Alexandria.

```
NaNpBi2O8
1.0
5.1716 0.0105 -0.0034
0.0539 5.1691 -0.0058
0.0044 0.0078 6.9262
O Np Bi Na
8 1 2 1
Cartesian
3.5835 3.5582 3.4568
0.9988 4.2181 1.4367
1.0012 4.2226 5.4790
3.6771 3.6454 -0.0064
1.5527 1.5420 6.9235
1.6463 1.6292 3.4603
4.2310 0.9693 5.4803
4.2287 0.9648 1.4381
0.0000 0.0000 0.0000
2.6159 2.5956 5.1446
2.6139 2.5918 1.7725
0.0022 0.0039 3.4631
```

Values from the calculation:
Energy relative to the elements, uncorrected   -1.650 eV/atom



2.
The following is a PBE calculation of a relaxed structure of NaNpBiO6, from Alexandria.

```
NaNpBiO6
1.0
5.7865 0.0000 0.0000
-2.8932 5.0112 0.0000
0.0000 0.0000 10.0424
Np O Bi Na
2 12 2 2
Cartesian
0.0000 3.3408 7.5318
2.8932 1.6704 2.5106
-0.8915 1.9064 6.4096
2.0017 3.1048 1.3884
3.7848 3.1048 3.6328
4.5812 1.7253 1.3884
2.0968 0.1811 1.3884
-1.6880 3.2859 8.6540
0.7965 4.8301 8.6540
1.2052 1.7253 3.6328
3.6897 0.1811 3.6328
-0.7965 4.8301 6.4096
0.8915 1.9064 8.6540
1.6880 3.2859 6.4096
0.0000 3.3408 2.5106
2.8932 1.6704 7.5318
0.0000 0.0000 5.0212
0.0000 0.0000 0.0000
```

Values from the calculation:
Energy relative to the elements, uncorrected   -1.793 eV/atom



3.
The following is a PBE calculation of a relaxed structure of NaNpBi2S6, from Alexandria.

```
NaNpBi2S6
1.0
7.0269 0.0003 0.0005
3.5137 6.0852 0.0002
3.5135 2.0287 6.2543
Np S Bi Na
1 6 2 1
Cartesian
3.5136 2.0284 0.1645
4.9971 4.0527 4.7559
5.7464 1.8340 1.5319
5.7420 6.2774 1.5320
8.0458 2.3012 4.7562
8.0383 5.8172 4.7559
9.5929 4.0598 1.5323
7.0270 4.0573 2.7770
3.5134 2.0286 6.0508
10.5404 6.0854 3.5134
```

Values from the calculation:
Energy relative to the elements, uncorrected   -0.720 eV/atom



4.
The following is a PBE calculation of a relaxed structure of Na3NpBi3Se8, from Alexandria.

```
Na3NpBi3Se8
1.0
-1.2629 0.3479 -8.3458
3.8252 -6.7128 3.4170
-8.4634 1.1722 1.3296
Na Se Bi Np
3 8 3 1
Cartesian
0.0000 0.0000 0.0000
1.9126 -3.3564 1.7085
1.2811 -3.1825 -2.4644
-5.3105 -2.1809 -3.5630
-4.6436 -2.2319 0.6097
-3.3129 -5.5376 -1.9502
-3.2443 0.5256 -5.9835
-0.5907 -3.0118 -0.0362
-1.2576 -2.9608 -4.2088
-2.6569 -5.7183 2.3844
-2.5883 0.3449 -1.6489
-2.3191 -2.7703 2.3733
-2.9506 -2.5964 -1.7996
-4.8632 0.7601 -3.5081
-4.2317 0.5861 0.6648
```

Values from the calculation:
Energy relative to the elements, uncorrected   -0.801 eV/atom



5.
The following is a PBE calculation of a relaxed structure of Na3NpBi2Se6, from Alexandria.

```
Na3NpBi2Se6
1.0
7.3418 -0.0017 0.0025
-3.6706 6.3583 0.0025
-1.2226 -2.1170 7.0719
Bi Se Np Na
2 6 1 3
Cartesian
0.0089 4.2333 0.0025
3.6622 2.1234 0.0025
0.0305 4.2416 5.4053
2.4181 -0.0019 1.6717
3.6587 2.1462 5.4053
-0.0130 -0.0225 5.3919
2.4615 4.2621 1.6851
-1.2101 2.0935 1.6717
0.0000 0.0000 0.0000
-2.3854 4.2045 3.5385
1.2243 2.1198 3.5385
4.8339 0.0351 3.5385
```

Values from the calculation:
Energy relative to the elements, uncorrected   -0.883 eV/atom



6.
The following is a PBE calculation of a relaxed structure of Na2NpBiTe4, from Alexandria.

```
Na2NpBiTe4
1.0
4.5266 0.0000 0.0000
0.0000 7.8308 0.1155
0.0000 -2.7509 7.5126
Na Te Np Bi
2 4 1 1
Cartesian
0.0000 2.5400 3.8141
2.2633 -1.3754 3.7563
2.2633 1.2858 1.8136
2.2633 3.7941 5.8146
0.0000 5.1682 1.8480
0.0000 -0.0883 5.7801
2.2633 3.9154 0.0578
0.0000 0.0000 0.0000
```

Values from the calculation:
Energy relative to the elements, uncorrected   -0.663 eV/atom